# Ru2C, relaxed, DFT GGA-PBE
# * energy: -8.95 eV/atom
# * relative energy among the computed polymorphs: 0.0 meV/atom
# * E_form: 0.310 eV per atom
# * space group: P-31m (162)
data_Ru2C
_chemical_formula_sum 'Ru6 C3'
_cell_length_a 4.936
_cell_length_b 4.936
_cell_length_c 4.958
_cell_angle_alpha 90.00
_cell_angle_beta 90.00
_cell_angle_gamma 120.00
_symmetry_space_group_name_H-M 'P 1'
_symmetry_Int_Tables_number 1
_symmetry_space_group_name_Hall 'P 1'
loop_
_atom_site_label
_atom_site_type_symbol
_atom_site_fract_x
_atom_site_fract_y
_atom_site_fract_z
Ru1 Ru 0.346 0.000 0.240
C1 C 0.667 0.333 0.500
Ru2 Ru 0.000 0.654 0.760
C2 C 0.000 0.000 0.000
Ru3 Ru 0.654 0.654 0.240
Ru4 Ru 0.000 0.346 0.240
Ru5 Ru 0.346 0.346 0.760
Ru6 Ru 0.654 0.000 0.760
C3 C 0.333 0.667 0.500


# RuC4, relaxed, DFT GGA-PBE
# * energy: -5.95 eV/atom
# * relative energy among the computed polymorphs: 2562.6 meV/atom
# * E_form: 3.288 eV per atom
# * space group: Pm-3m (221)
data_RuC4
_chemical_formula_sum 'Ru1 C4'
_cell_length_a 3.956
_cell_length_b 3.956
_cell_length_c 3.956
_cell_angle_alpha 90.00
_cell_angle_beta 90.00
_cell_angle_gamma 90.00
_symmetry_space_group_name_H-M 'P 1'
_symmetry_Int_Tables_number 1
_symmetry_space_group_name_Hall 'P 1'
loop_
_atom_site_label
_atom_site_type_symbol
_atom_site_fract_x
_atom_site_fract_y
_atom_site_fract_z
C1 C 0.000 0.000 0.000
C2 C 0.500 0.500 0.000
C3 C 0.500 0.000 0.500
Ru1 Ru 0.500 0.500 0.500
C4 C 0.000 0.500 0.500


# RuC5, relaxed, DFT GGA-PBE
# * energy: -7.93 eV/atom
# * relative energy among the computed polymorphs: 448.6 meV/atom
# * E_form: 1.307 eV per atom
# * space group: Amm2 (38)
data_RuC5
_chemical_formula_sum 'Ru1 C5'
_cell_length_a 7.937
_cell_length_b 7.937
_cell_length_c 2.594
_cell_angle_alpha 90.00
_cell_angle_beta 90.00
_cell_angle_gamma 161.07
_symmetry_space_group_name_H-M 'P 1'
_symmetry_Int_Tables_number 1
_symmetry_space_group_name_Hall 'P 1'
loop_
_atom_site_label
_atom_site_type_symbol
_atom_site_fract_x
_atom_site_fract_y
_atom_site_fract_z
C1 C 0.433 0.567 0.000
C2 C 0.991 0.009 0.000
C3 C 0.700 0.300 0.500
C4 C 0.730 0.270 0.000
Ru1 Ru 0.092 0.908 0.500
C5 C 0.386 0.614 0.500


# RuC2, relaxed, DFT GGA-PBE
# * energy: -8.02 eV/atom
# * relative energy among the computed polymorphs: 637.7 meV/atom
# * E_form: 1.222 eV per atom
# * space group: C2 (5)
data_RuC2
_chemical_formula_sum 'Ru1 C2'
_cell_length_a 4.640
_cell_length_b 3.503
_cell_length_c 2.864
_cell_angle_alpha 89.90
_cell_angle_beta 90.00
_cell_angle_gamma 131.47
_symmetry_space_group_name_H-M 'P 1'
_symmetry_Int_Tables_number 1
_symmetry_space_group_name_Hall 'P 1'
loop_
_atom_site_label
_atom_site_type_symbol
_atom_site_fract_x
_atom_site_fract_y
_atom_site_fract_z
C1 C 0.598 0.259 0.000
C2 C 0.339 0.741 0.000
Ru1 Ru 0.063 0.000 0.000


# Ru6C7, relaxed, DFT GGA-PBE
# * energy: -7.95 eV/atom
# * E_form: 1.300 eV per atom
# * space group: R-3m (166)
data_Ru6C7
_chemical_formula_sum 'Ru6 C7'
_cell_length_a 9.535
_cell_length_b 9.535
_cell_length_c 9.535
_cell_angle_alpha 25.02
_cell_angle_beta 25.02
_cell_angle_gamma 25.02
_symmetry_space_group_name_H-M 'P 1'
_symmetry_Int_Tables_number 1
_symmetry_space_group_name_Hall 'P 1'
loop_
_atom_site_label
_atom_site_type_symbol
_atom_site_fract_x
_atom_site_fract_y
_atom_site_fract_z
Ru1 Ru 0.918 0.918 0.918
C1 C 0.158 0.537 0.537
C2 C 0.500 0.500 0.500
Ru2 Ru 0.082 0.082 0.082
C3 C 0.537 0.158 0.537
Ru3 Ru 0.802 0.802 0.802
Ru4 Ru 0.309 0.309 0.309
C4 C 0.537 0.537 0.158
C5 C 0.463 0.463 0.842
C6 C 0.842 0.463 0.463
Ru5 Ru 0.691 0.691 0.691
Ru6 Ru 0.198 0.198 0.198
C7 C 0.463 0.842 0.463


# RuC5, relaxed, DFT GGA-PBE
# * energy: -7.99 eV/atom
# * relative energy among the computed polymorphs: 387.3 meV/atom
# * E_form: 1.246 eV per atom
# * space group: Amm2 (38)
data_RuC5
_chemical_formula_sum 'Ru1 C5'
_cell_length_a 6.767
_cell_length_b 6.767
_cell_length_c 2.602
_cell_angle_alpha 90.00
_cell_angle_beta 90.00
_cell_angle_gamma 156.89
_symmetry_space_group_name_H-M 'P 1'
_symmetry_Int_Tables_number 1
_symmetry_space_group_name_Hall 'P 1'
loop_
_atom_site_label
_atom_site_type_symbol
_atom_site_fract_x
_atom_site_fract_y
_atom_site_fract_z
C1 C 0.441 0.559 0.500
C2 C 0.687 0.313 0.500
Ru1 Ru 0.001 0.999 0.000
C3 C 0.626 0.374 0.000
C4 C 0.320 0.680 0.000
C5 C 0.259 0.741 0.500


# Ru2C, relaxed, DFT GGA-PBE
# * energy: -8.53 eV/atom
# * relative energy among the computed polymorphs: 419.6 meV/atom
# * E_form: 0.729 eV per atom
# * space group: I4/mmm (139)
data_Ru2C
_chemical_formula_sum 'Ru2 C1'
_cell_length_a 4.931
_cell_length_b 4.931
_cell_length_c 4.931
_cell_angle_alpha 148.35
_cell_angle_beta 148.35
_cell_angle_gamma 45.37
_symmetry_space_group_name_H-M 'P 1'
_symmetry_Int_Tables_number 1
_symmetry_space_group_name_Hall 'P 1'
loop_
_atom_site_label
_atom_site_type_symbol
_atom_site_fract_x
_atom_site_fract_y
_atom_site_fract_z
C1 C 0.000 0.000 0.000
Ru1 Ru 0.359 0.359 0.000
Ru2 Ru 0.641 0.641 0.000


# RuC2, relaxed, DFT GGA-PBE
# * energy: -7.18 eV/atom
# * relative energy among the computed polymorphs: 1472.9 meV/atom
# * E_form: 2.057 eV per atom
# * space group: P6/mmm (191)
data_RuC2
_chemical_formula_sum 'Ru1 C2'
_cell_length_a 3.588
_cell_length_b 3.588
_cell_length_c 2.853
_cell_angle_alpha 90.00
_cell_angle_beta 90.00
_cell_angle_gamma 120.00
_symmetry_space_group_name_H-M 'P 1'
_symmetry_Int_Tables_number 1
_symmetry_space_group_name_Hall 'P 1'
loop_
_atom_site_label
_atom_site_type_symbol
_atom_site_fract_x
_atom_site_fract_y
_atom_site_fract_z
C1 C 0.000 0.000 0.333
Ru1 Ru 0.667 0.333 0.333
C2 C 0.333 0.667 0.333


# Ru3C2, relaxed, DFT GGA-PBE
# * energy: -8.79 eV/atom
# * relative energy among the computed polymorphs: 69.8 meV/atom
# * E_form: 0.465 eV per atom
# * space group: P-3m1 (164)
data_Ru3C2
_chemical_formula_sum 'Ru3 C2'
_cell_length_a 3.237
_cell_length_b 3.237
_cell_length_c 6.234
_cell_angle_alpha 90.00
_cell_angle_beta 90.00
_cell_angle_gamma 120.00
_symmetry_space_group_name_H-M 'P 1'
_symmetry_Int_Tables_number 1
_symmetry_space_group_name_Hall 'P 1'
loop_
_atom_site_label
_atom_site_type_symbol
_atom_site_fract_x
_atom_site_fract_y
_atom_site_fract_z
Ru1 Ru 0.667 0.333 0.674
Ru2 Ru 0.000 0.000 0.000
Ru3 Ru 0.333 0.667 0.326
C1 C 0.333 0.667 0.782
C2 C 0.667 0.333 0.218


# RuC5, relaxed, DFT GGA-PBE
# * energy: -6.46 eV/atom
# * relative energy among the computed polymorphs: 1910.9 meV/atom
# * E_form: 2.769 eV per atom
# * space group: P-62m (189)
data_RuC5
_chemical_formula_sum 'Ru1 C5'
_cell_length_a 3.786
_cell_length_b 3.786
_cell_length_c 4.486
_cell_angle_alpha 90.00
_cell_angle_beta 90.00
_cell_angle_gamma 120.00
_symmetry_space_group_name_H-M 'P 1'
_symmetry_Int_Tables_number 1
_symmetry_space_group_name_Hall 'P 1'
loop_
_atom_site_label
_atom_site_type_symbol
_atom_site_fract_x
_atom_site_fract_y
_atom_site_fract_z
C1 C 0.667 0.333 0.500
C2 C 0.333 0.667 0.500
C3 C 0.000 0.780 0.000
Ru1 Ru 0.000 0.000 0.500
C4 C 0.780 0.000 0.000
C5 C 0.220 0.220 0.000


# RuC4, relaxed, DFT GGA-PBE
# * energy: -8.51 eV/atom
# * relative energy among the computed polymorphs: 0.0 meV/atom
# * E_form: 0.725 eV per atom
# * space group: P-3m1 (164)
data_RuC4
_chemical_formula_sum 'Ru1 C4'
_cell_length_a 2.713
_cell_length_b 2.713
_cell_length_c 6.204
_cell_angle_alpha 90.00
_cell_angle_beta 90.00
_cell_angle_gamma 120.00
_symmetry_space_group_name_H-M 'P 1'
_symmetry_Int_Tables_number 1
_symmetry_space_group_name_Hall 'P 1'
loop_
_atom_site_label
_atom_site_type_symbol
_atom_site_fract_x
_atom_site_fract_y
_atom_site_fract_z
C1 C 0.667 0.333 0.780
C2 C 0.333 0.667 0.220
C3 C 0.667 0.333 0.543
Ru1 Ru 0.000 0.000 0.000
C4 C 0.333 0.667 0.457


# Ru3C, relaxed, DFT GGA-PBE
# * energy: -8.78 eV/atom
# * relative energy among the computed polymorphs: 152.5 meV/atom
# * E_form: 0.479 eV per atom
# * space group: R-3m (166)
data_Ru3C
_chemical_formula_sum 'Ru3 C1'
_cell_length_a 7.332
_cell_length_b 7.332
_cell_length_c 7.332
_cell_angle_alpha 22.03
_cell_angle_beta 22.03
_cell_angle_gamma 22.03
_symmetry_space_group_name_H-M 'P 1'
_symmetry_Int_Tables_number 1
_symmetry_space_group_name_Hall 'P 1'
loop_
_atom_site_label
_atom_site_type_symbol
_atom_site_fract_x
_atom_site_fract_y
_atom_site_fract_z
C1 C 0.000 0.000 0.000
Ru1 Ru 0.271 0.271 0.271
Ru2 Ru 0.729 0.729 0.729
Ru3 Ru 0.500 0.500 0.500


# RuC2, relaxed, DFT GGA-PBE
# * energy: -7.63 eV/atom
# * relative energy among the computed polymorphs: 1022.6 meV/atom
# * E_form: 1.607 eV per atom
# * space group: R3m (160)
data_RuC2
_chemical_formula_sum 'Ru1 C2'
_cell_length_a 5.529
_cell_length_b 5.529
_cell_length_c 5.529
_cell_angle_alpha 33.48
_cell_angle_beta 33.48
_cell_angle_gamma 33.48
_symmetry_space_group_name_H-M 'P 1'
_symmetry_Int_Tables_number 1
_symmetry_space_group_name_Hall 'P 1'
loop_
_atom_site_label
_atom_site_type_symbol
_atom_site_fract_x
_atom_site_fract_y
_atom_site_fract_z
Ru1 Ru 0.000 0.000 0.000
C1 C 0.721 0.721 0.721
C2 C 0.612 0.612 0.612


# Ru7C5, relaxed, DFT GGA-PBE
# * energy: -8.66 eV/atom
# * E_form: 0.598 eV per atom
# * space group: P1 (1)
data_Ru7C5
_chemical_formula_sum 'Ru7 C5'
_cell_length_a 5.889
_cell_length_b 5.785
_cell_length_c 7.603
_cell_angle_alpha 129.11
_cell_angle_beta 123.12
_cell_angle_gamma 82.00
_symmetry_space_group_name_H-M 'P 1'
_symmetry_Int_Tables_number 1
_symmetry_space_group_name_Hall 'P 1'
loop_
_atom_site_label
_atom_site_type_symbol
_atom_site_fract_x
_atom_site_fract_y
_atom_site_fract_z
Ru1 Ru 0.617 0.981 0.168
C1 C 0.708 0.573 0.886
Ru2 Ru 0.985 0.601 0.805
C2 C 0.570 0.170 0.011
C3 C 0.038 0.244 0.500
Ru3 Ru 0.097 0.829 0.296
C4 C 0.364 0.773 0.169
Ru4 Ru 0.664 0.079 0.587
Ru5 Ru 0.427 0.385 0.875
C5 C 0.804 0.786 0.630
Ru6 Ru 0.929 0.519 0.394
Ru7 Ru 0.498 0.762 0.678


# RuC2, relaxed, DFT GGA-PBE
# * energy: -8.03 eV/atom
# * relative energy among the computed polymorphs: 628.5 meV/atom
# * E_form: 1.213 eV per atom
# * space group: Cmcm (63)
data_RuC2
_chemical_formula_sum 'Ru2 C4'
_cell_length_a 4.919
_cell_length_b 4.919
_cell_length_c 4.286
_cell_angle_alpha 90.00
_cell_angle_beta 90.00
_cell_angle_gamma 149.86
_symmetry_space_group_name_H-M 'P 1'
_symmetry_Int_Tables_number 1
_symmetry_space_group_name_Hall 'P 1'
loop_
_atom_site_label
_atom_site_type_symbol
_atom_site_fract_x
_atom_site_fract_y
_atom_site_fract_z
C1 C 0.395 0.605 0.250
Ru1 Ru 0.676 0.324 0.250
C2 C 0.977 0.023 0.250
C3 C 0.023 0.977 0.750
Ru2 Ru 0.324 0.676 0.750
C4 C 0.605 0.395 0.750


# Ru2C, relaxed, DFT GGA-PBE
# * energy: -8.43 eV/atom
# * relative energy among the computed polymorphs: 515.9 meV/atom
# * E_form: 0.825 eV per atom
# * space group: Fm-3m (225)
data_Ru2C
_chemical_formula_sum 'Ru2 C1'
_cell_length_a 3.689
_cell_length_b 3.689
_cell_length_c 3.689
_cell_angle_alpha 60.00
_cell_angle_beta 60.00
_cell_angle_gamma 60.00
_symmetry_space_group_name_H-M 'P 1'
_symmetry_Int_Tables_number 1
_symmetry_space_group_name_Hall 'P 1'
loop_
_atom_site_label
_atom_site_type_symbol
_atom_site_fract_x
_atom_site_fract_y
_atom_site_fract_z
Ru1 Ru 0.750 0.750 0.750
C1 C 0.000 0.000 0.000
Ru2 Ru 0.250 0.250 0.250


# Ru2C, relaxed, DFT GGA-PBE
# * energy: -8.03 eV/atom
# * relative energy among the computed polymorphs: 922.1 meV/atom
# * E_form: 1.232 eV per atom
# * space group: P6_3/mmc (194)
data_Ru2C
_chemical_formula_sum 'Ru4 C2'
_cell_length_a 3.741
_cell_length_b 3.741
_cell_length_c 5.817
_cell_angle_alpha 90.00
_cell_angle_beta 90.00
_cell_angle_gamma 120.00
_symmetry_space_group_name_H-M 'P 1'
_symmetry_Int_Tables_number 1
_symmetry_space_group_name_Hall 'P 1'
loop_
_atom_site_label
_atom_site_type_symbol
_atom_site_fract_x
_atom_site_fract_y
_atom_site_fract_z
Ru1 Ru 0.000 0.000 0.000
Ru2 Ru 0.000 0.000 0.500
Ru3 Ru 0.667 0.333 0.750
C1 C 0.333 0.667 0.750
C2 C 0.667 0.333 0.250
Ru4 Ru 0.333 0.667 0.250


# RuC2, relaxed, DFT GGA-PBE
# * energy: -7.69 eV/atom
# * relative energy among the computed polymorphs: 961.9 meV/atom
# * E_form: 1.546 eV per atom
# * space group: P4_2/mnm (136)
data_RuC2
_chemical_formula_sum 'Ru2 C4'
_cell_length_a 5.024
_cell_length_b 5.024
_cell_length_c 2.741
_cell_angle_alpha 90.00
_cell_angle_beta 90.00
_cell_angle_gamma 90.00
_symmetry_space_group_name_H-M 'P 1'
_symmetry_Int_Tables_number 1
_symmetry_space_group_name_Hall 'P 1'
loop_
_atom_site_label
_atom_site_type_symbol
_atom_site_fract_x
_atom_site_fract_y
_atom_site_fract_z
Ru1 Ru 0.000 0.000 0.500
Ru2 Ru 0.500 0.500 0.000
C1 C 0.788 0.788 0.000
C2 C 0.288 0.712 0.500
C3 C 0.212 0.212 0.000
C4 C 0.712 0.288 0.500


# Ru3C, relaxed, DFT GGA-PBE
# * energy: -7.94 eV/atom
# * relative energy among the computed polymorphs: 995.5 meV/atom
# * E_form: 1.322 eV per atom
# * space group: Cmmm (65)
data_Ru3C
_chemical_formula_sum 'Ru3 C1'
_cell_length_a 4.601
_cell_length_b 4.601
_cell_length_c 2.784
_cell_angle_alpha 90.00
_cell_angle_beta 90.00
_cell_angle_gamma 119.37
_symmetry_space_group_name_H-M 'P 1'
_symmetry_Int_Tables_number 1
_symmetry_space_group_name_Hall 'P 1'
loop_
_atom_site_label
_atom_site_type_symbol
_atom_site_fract_x
_atom_site_fract_y
_atom_site_fract_z
Ru1 Ru 0.500 0.000 0.500
Ru2 Ru 0.000 0.500 0.500
Ru3 Ru 0.500 0.500 0.000
C1 C 0.000 0.000 0.000


# Ru4C3, relaxed, DFT GGA-PBE
# * energy: -8.46 eV/atom
# * relative energy among the computed polymorphs: 110.3 meV/atom
# * E_form: 0.792 eV per atom
# * space group: Pm-3m (221)
data_Ru4C3
_chemical_formula_sum 'Ru4 C3'
_cell_length_a 4.244
_cell_length_b 4.244
_cell_length_c 4.244
_cell_angle_alpha 90.00
_cell_angle_beta 90.00
_cell_angle_gamma 90.00
_symmetry_space_group_name_H-M 'P 1'
_symmetry_Int_Tables_number 1
_symmetry_space_group_name_Hall 'P 1'
loop_
_atom_site_label
_atom_site_type_symbol
_atom_site_fract_x
_atom_site_fract_y
_atom_site_fract_z
Ru1 Ru 0.500 0.500 0.000
C1 C 0.000 0.000 0.500
Ru2 Ru 0.000 0.000 0.000
C2 C 0.000 0.500 0.000
Ru3 Ru 0.000 0.500 0.500
Ru4 Ru 0.500 0.000 0.500
C3 C 0.500 0.000 0.000